Tb3YBi2C | PBE-GGA | relaxed

Cell: 4.8605 4.8849 16.0948 Å, 90.00 90.00 90.00°
Last column: nearest neighbours and their distance in Å.
Positions (direct):
1 Tb 0.0000 0.0000 0.0000  2 C 2.44
2 Tb 0.0000 0.5000 0.1532  1 C 2.47
3 Tb 0.0000 0.5000 0.8468  1 C 2.47
4 Tb 0.5000 0.0000 0.3468  1 C 2.47
5 Tb 0.5000 0.0000 0.6532  1 C 2.47
6 Tb 0.5000 0.5000 0.5000  2 C 2.44
7 Y 0.0000 0.0000 0.5000  2 C 2.43
8 Y 0.5000 0.5000 0.0000  2 C 2.43
9 Bi 0.0000 0.5000 0.3557  7 Tb 3.26-3.45, 2 Y 3.37
10 Bi 0.0000 0.5000 0.6443  7 Tb 3.26-3.45, 2 Y 3.37
11 Bi 0.5000 0.0000 0.1443  7 Tb 3.26-3.45, 2 Y 3.37
12 Bi 0.5000 0.0000 0.8557  7 Tb 3.26-3.45, 2 Y 3.37
13 C 0.0000 0.5000 0.0000  2 Y 2.43, 4 Tb 2.44-2.47
14 C 0.5000 0.0000 0.5000  2 Y 2.43, 4 Tb 2.44-2.47

Output
M_tot: 0.0 μB/cell
Total DFT energy (no corrections): -5.99 eV/atom
Symmetry: Immm (71)
E_form: -440 kJ/mol of formula units
N(E_F): 11.0 states/eV/cell


MgBi2Pb2 | PBE-GGA | relaxed

Cell: 8.0528 8.0528 4.9715 Å, 90.00 90.00 90.00°
Last column: nearest neighbours and their distance in Å.
Positions (direct):
1 Mg 0.0000 0.0000 0.0000  4 Bi 3.07
2 Mg 0.5000 0.5000 0.0000  4 Bi 3.07
3 Bi 0.1499 0.3501 0.0000  2 Mg 3.07, 2 Pb 3.32, 1 Bi 3.42
4 Bi 0.3501 0.8501 0.0000  2 Mg 3.07, 2 Pb 3.32, 1 Bi 3.42
5 Bi 0.6499 0.1499 0.0000  2 Mg 3.07, 2 Pb 3.32, 1 Bi 3.42
6 Bi 0.8501 0.6499 0.0000  2 Mg 3.07, 2 Pb 3.32, 1 Bi 3.42
7 Pb 0.1566 0.6566 0.5000  6 Bi 3.32-3.50, 1 Pb 3.57
8 Pb 0.3434 0.1566 0.5000  6 Bi 3.32-3.50, 1 Pb 3.57
9 Pb 0.6566 0.8434 0.5000  6 Bi 3.32-3.50, 1 Pb 3.57
10 Pb 0.8434 0.3434 0.5000  6 Bi 3.32-3.50, 1 Pb 3.57

Output
M_tot: 0.0 μB/cell
Total DFT energy (no corrections): -3.28 eV/atom
Symmetry: P4/mbm (127)
E_form: 35 kJ/mol of formula units
N(E_F): 5.3 states/eV/cell
Excess energy over the best structure of this formula in the dataset: 37 kJ/mol of formula units


NdPu3Rh3 | PBE-GGA | relaxed

Cell: 7.4003 7.4003 7.4003 Å, 90.00 90.00 90.00°
Last column: nearest neighbours and their distance in Å.
Positions (direct):
1 Nd 0.0000 0.0000 0.0000  12 Rh 4.14, 12 Pu 4.14
2 Nd 0.5000 0.5000 0.5000  12 Rh 4.14, 12 Pu 4.14
3 Pu 0.0000 0.2500 0.5000  4 Rh 2.62
4 Pu 0.0000 0.7500 0.5000  4 Rh 2.62
5 Pu 0.2500 0.5000 0.0000  4 Rh 2.62
6 Pu 0.5000 0.0000 0.2500  4 Rh 2.62
7 Pu 0.5000 0.0000 0.7500  4 Rh 2.62
8 Pu 0.7500 0.5000 0.0000  4 Rh 2.62
9 Rh 0.0000 0.5000 0.2500  4 Pu 2.62
10 Rh 0.0000 0.5000 0.7500  4 Pu 2.62
11 Rh 0.2500 0.0000 0.5000  4 Pu 2.62
12 Rh 0.5000 0.2500 0.0000  4 Pu 2.62
13 Rh 0.5000 0.7500 0.0000  4 Pu 2.62
14 Rh 0.7500 0.0000 0.5000  4 Pu 2.62

Output
M_tot: 32.5 μB/cell
Total DFT energy (no corrections): -9.76 eV/atom
Symmetry: Pm-3n (223)
E_form: 147 kJ/mol of formula units
N(E_F): 45.1 states/eV/cell


Co2TcCl | PBE-GGA | relaxed

Cell: 2.7672 4.3911 8.7134 Å, 90.00 90.00 90.00°
Last column: nearest neighbours and their distance in Å.
Positions (direct):
1 Co 0.0000 0.0000 0.0000  4 Co 2.59-2.77, 4 Cl 2.60, 2 Tc 2.79
2 Co 0.0000 0.5000 0.2489  2 Cl 2.52, 4 Co 2.59-2.77, 4 Tc 2.61
3 Co 0.5000 0.0000 0.7489  2 Cl 2.52, 4 Co 2.59-2.77, 4 Tc 2.61
4 Co 0.5000 0.5000 0.5000  4 Co 2.59-2.77, 4 Cl 2.60, 2 Tc 2.79
5 Tc 0.0000 0.5000 0.7782  2 Cl 2.43, 4 Co 2.61
6 Tc 0.5000 0.0000 0.2782  2 Cl 2.43, 4 Co 2.61
7 Cl 0.0000 0.0000 0.5077  2 Tc 2.43, 6 Co 2.52-2.60
8 Cl 0.5000 0.5000 0.0077  2 Tc 2.43, 6 Co 2.52-2.60

Output
M_tot: 7.7 μB/cell
Total DFT energy (no corrections): -5.91 eV/atom
Symmetry: Imm2 (44)
N(E_F): 9.0 states/eV/cell
Formation energy without anion corrections: 67.3 kJ per mole of atoms
Excess energy over the best structure of this formula in the dataset: 155 kJ/mol of formula units


ReOsAu4 | PBE-GGA | relaxed

Cell: 5.3189 5.3189 5.3189 Å, 60.00 60.00 60.00°
Last column: nearest neighbours and their distance in Å.
Positions (direct):
1 Re 0.0000 0.0000 0.0000  12 Au 3.12, 4 Os 3.26
2 Os 0.2500 0.2500 0.2500  12 Au 3.12, 4 Re 3.26
3 Au 0.1250 0.6250 0.6250  6 Au 2.66
4 Au 0.6250 0.1250 0.6250  6 Au 2.66
5 Au 0.6250 0.6250 0.1250  6 Au 2.66
6 Au 0.6250 0.6250 0.6250  6 Au 2.66

Output
M_tot: 0.7 μB/cell
Total DFT energy (no corrections): -4.97 eV/atom
Symmetry: F-43m (216)
E_form: 671 kJ/mol of formula units
N(E_F): 5.6 states/eV/cell


TiGaBiW2 | PBE-GGA | relaxed

Cell: 4.7183 4.7183 5.1985 Å, 90.00 90.00 90.00°
Last column: nearest neighbours and their distance in Å.
Positions (direct):
1 Ti 0.0000 0.0000 0.0000  4 W 2.36, 2 Bi 2.60
2 Ga 0.5000 0.5000 0.5000  4 Bi 3.34, 8 W 3.51
3 Bi 0.0000 0.0000 0.5000  2 Ti 2.60
4 W 0.0000 0.5000 0.0000  2 Ti 2.36
5 W 0.5000 0.0000 0.0000  2 Ti 2.36

Output
M_tot: 0.0 μB/cell
Total DFT energy (no corrections): -6.40 eV/atom
Symmetry: P4/mmm (123)
E_form: 840 kJ/mol of formula units
N(E_F): 9.4 states/eV/cell


Tb3Th2Cd | PBE-GGA | relaxed

Cell: 3.5942 3.5942 14.0346 Å, 90.00 90.00 90.00°
Last column: nearest neighbours and their distance in Å.
Positions (direct):
1 Tb 0.0000 0.0000 0.0000  8 Th 3.57, 4 Tb 3.59
2 Tb 0.0000 0.0000 0.3522  4 Cd 3.28, 4 Th 3.52, 4 Tb 3.59
3 Tb 0.0000 0.0000 0.6478  4 Cd 3.28, 4 Th 3.52, 4 Tb 3.59
4 Th 0.5000 0.5000 0.1791  8 Tb 3.52-3.57, 4 Th 3.59
5 Th 0.5000 0.5000 0.8209  8 Tb 3.52-3.57, 4 Th 3.59
6 Cd 0.5000 0.5000 0.5000  8 Tb 3.28, 4 Cd 3.59

Output
M_tot: 0.0 μB/cell
Total DFT energy (no corrections): -5.04 eV/atom
Symmetry: P4/mmm (123)
E_form: -56 kJ/mol of formula units
N(E_F): 5.7 states/eV/cell


Er4Sc5Tl2 | PBE-GGA | relaxed

Cell: 15.5029 15.5029 15.5029 Å, 18.47 18.47 18.47°
Last column: nearest neighbours and their distance in Å.
Positions (direct):
1 Er 0.0719 0.0719 0.0719  3 Tl 3.24, 5 Sc 3.29-3.52, 3 Er 3.38
2 Er 0.2226 0.2226 0.2226  5 Sc 3.36-3.64, 3 Er 3.38
3 Er 0.7774 0.7774 0.7774  5 Sc 3.36-3.64, 3 Er 3.38
4 Er 0.9281 0.9281 0.9281  3 Tl 3.24, 5 Sc 3.29-3.52, 3 Er 3.38
5 Sc 0.0000 0.0000 0.0000  6 Sc 3.21, 2 Er 3.29, 6 Tl 3.39
6 Sc 0.1489 0.1489 0.1489  3 Sc 3.30, 5 Er 3.36-3.52
7 Sc 0.3022 0.3022 0.3022  4 Tl 2.90-3.22, 3 Sc 3.21
8 Sc 0.6978 0.6978 0.6978  4 Tl 2.90-3.22, 3 Sc 3.21
9 Sc 0.8511 0.8511 0.8511  3 Sc 3.30, 5 Er 3.36-3.52
10 Tl 0.3727 0.3727 0.3727  4 Sc 2.90-3.22, 3 Er 3.24
11 Tl 0.6273 0.6273 0.6273  4 Sc 2.90-3.22, 3 Er 3.24

Output
M_tot: 3.4 μB/cell
Total DFT energy (no corrections): -4.71 eV/atom
Symmetry: R-3m (166)
E_form: 269 kJ/mol of formula units
N(E_F): 17.5 states/eV/cell


Tb5Tm2In4 | PBE-GGA | relaxed

Cell: 15.0293 15.0293 15.0293 Å, 166.84 146.85 35.80°
Last column: nearest neighbours and their distance in Å.
Positions (direct):
1 Tb 0.0000 0.0000 0.0000  4 Tm 3.24, 4 In 3.25, 2 Tb 3.44
2 Tb 0.0047 0.7012 0.3034  3 In 3.12-3.35, 5 Tb 3.37-3.44, 1 Tm 3.45
3 Tb 0.3978 0.7012 0.6966  3 In 3.12-3.35, 5 Tb 3.37-3.44, 1 Tm 3.45
4 Tb 0.6022 0.2988 0.3034  3 In 3.12-3.35, 5 Tb 3.37-3.44, 1 Tm 3.45
5 Tb 0.9953 0.2988 0.6966  3 In 3.12-3.35, 5 Tb 3.37-3.44, 1 Tm 3.45
6 Tm 0.0960 0.5960 0.5000  4 Tb 3.24-3.45, 2 Tm 3.44
7 Tm 0.9040 0.4040 0.5000  4 Tb 3.24-3.45, 2 Tm 3.44
8 In 0.3024 0.8024 0.5000  6 Tb 3.12-3.35, 2 In 3.44
9 In 0.3216 0.5000 0.8216  1 In 3.06, 2 Tb 3.25
10 In 0.6784 0.5000 0.1784  1 In 3.06, 2 Tb 3.25
11 In 0.6976 0.1976 0.5000  6 Tb 3.12-3.35, 2 In 3.44

Output
M_tot: 0.0 μB/cell
Total DFT energy (no corrections): -3.60 eV/atom
Symmetry: Immm (71)
E_form: 334 kJ/mol of formula units
N(E_F): 13.6 states/eV/cell
Excess energy over the best structure of this formula in the dataset: 600 kJ/mol of formula units


Na4TeSe4 | PBE-GGA | relaxed

Cell: 8.0111 8.0111 8.0111 Å, 127.56 127.56 77.34°
Last column: nearest neighbours and their distance in Å.
Positions (direct):
1 Na 0.0000 0.5000 0.5000  4 Se 2.97
2 Na 0.2130 0.2130 0.0000  4 Se 2.98-3.02
3 Na 0.5000 0.0000 0.5000  4 Se 2.97
4 Na 0.7870 0.7870 0.0000  4 Se 2.98-3.02
5 Te 0.5000 0.5000 0.0000  4 Se 2.69
6 Se 0.1561 0.5930 0.0000  1 Te 2.69, 3 Na 2.97-2.98
7 Se 0.4070 0.4070 0.5631  1 Te 2.69, 3 Na 2.97-2.98
8 Se 0.5930 0.1561 0.0000  1 Te 2.69, 3 Na 2.97-2.98
9 Se 0.8439 0.8439 0.4369  1 Te 2.69, 3 Na 2.97-2.98

Output
M_tot: 0.0 μB/cell
Total DFT energy (no corrections): -3.13 eV/atom
Symmetry: I-42m (121)
Formation energy without anion corrections: -62.8 kJ per mole of atoms


TbPm9Nd2 | PBE-GGA | relaxed

Cell: 11.5255 11.5255 3.5594 Å, 90.00 90.00 120.00°
Last column: nearest neighbours and their distance in Å.
Positions (direct):
1 Tb 0.0000 0.0000 0.0000  2 Tb 3.56, 12 Pm 3.87
2 Pm 0.0000 0.5000 0.0000  2 Nd 3.33, 10 Pm 3.56-3.73
3 Pm 0.1722 0.3444 0.5000  8 Pm 3.44-3.73, 2 Nd 3.68
4 Pm 0.1722 0.8278 0.5000  8 Pm 3.44-3.73, 2 Nd 3.68
5 Pm 0.3444 0.1722 0.5000  8 Pm 3.44-3.73, 2 Nd 3.68
6 Pm 0.5000 0.0000 0.0000  2 Nd 3.33, 10 Pm 3.56-3.73
7 Pm 0.5000 0.5000 0.0000  2 Nd 3.33, 10 Pm 3.56-3.73
8 Pm 0.6556 0.8278 0.5000  8 Pm 3.44-3.73, 2 Nd 3.68
9 Pm 0.8278 0.1722 0.5000  8 Pm 3.44-3.73, 2 Nd 3.68
10 Pm 0.8278 0.6556 0.5000  8 Pm 3.44-3.73, 2 Nd 3.68
11 Nd 0.3333 0.6667 0.0000  9 Pm 3.33-3.68, 2 Nd 3.56
12 Nd 0.6667 0.3333 0.0000  9 Pm 3.33-3.68, 2 Nd 3.56

Output
M_tot: 0.0 μB/cell
Total DFT energy (no corrections): -4.70 eV/atom
Symmetry: P6/mmm (191)
E_form: 53 kJ/mol of formula units
N(E_F): 15.2 states/eV/cell
Excess energy over the best structure of this formula in the dataset: 35 kJ/mol of formula units


PrZn3Pt2 | PBE-GGA | relaxed

Cell: 8.1303 8.1303 7.8708 Å, 116.19 116.19 29.67°
Last column: nearest neighbours and their distance in Å.
Positions (direct):
1 Pr 0.1442 0.1442 0.0530  7 Pt 3.10-3.31, 3 Zn 3.35-3.39
2 Pr 0.8558 0.8558 0.9470  7 Pt 3.10-3.31, 3 Zn 3.35-3.39
3 Zn 0.0409 0.0409 0.3850  3 Pt 2.56-2.63, 1 Zn 2.66
4 Zn 0.3111 0.3111 0.5328  4 Pt 2.57-2.72, 3 Zn 2.65-2.72
5 Zn 0.4017 0.4017 0.3193  3 Pt 2.55-2.61, 1 Zn 2.65
6 Zn 0.5983 0.5983 0.6807  3 Pt 2.55-2.61, 1 Zn 2.65
7 Zn 0.6889 0.6889 0.4672  4 Pt 2.57-2.72, 3 Zn 2.65-2.72
8 Zn 0.9591 0.9591 0.6150  3 Pt 2.56-2.63, 1 Zn 2.66
9 Pt 0.2031 0.2031 0.7012  6 Zn 2.59-2.72
10 Pt 0.4795 0.4795 0.8187  4 Zn 2.55-2.57, 1 Pt 2.62
11 Pt 0.5205 0.5205 0.1813  4 Zn 2.55-2.57, 1 Pt 2.62
12 Pt 0.7969 0.7969 0.2988  6 Zn 2.59-2.72

Output
M_tot: 0.0 μB/cell
Total DFT energy (no corrections): -4.10 eV/atom
Symmetry: C2/m (12)
E_form: -376 kJ/mol of formula units
N(E_F): 4.9 states/eV/cell